1.
# HfBeNb | Alexandria | PBE | optimized geometry
# * Fermi-level density of states: 2.9 states/eV per cell
# * energy relative to the elements: 0.285 eV per atom
# * mass density: 9.07 g/cm3
# * space group: P3m1 (156)
# * uncorrected energy: -7.632 eV/atom
data_HfBeNb
_space_group_name_H-M_alt 'P 1'
_space_group_IT_number 1
_cell_length_a 3.017
_cell_length_b 4.433
_cell_length_c 4.433
_cell_angle_alpha 120.00
_cell_angle_beta 90.00
_cell_angle_gamma 90.00
loop_
_space_group_symop_operation_xyz
'x,y,z'
loop_
_atom_site_label
_atom_site_type_symbol
_atom_site_fract_x
_atom_site_fract_y
_atom_site_fract_z
Be1 Be 0.393 0.333 0.667
Nb1 Nb 0.577 0.667 0.333
Hf1 Hf 0.030 0.000 0.000

2.
# LaZn3CdAg | Alexandria | PBE | optimized geometry
# * Fermi-level density of states: 5.3 states/eV per cell
# * energy relative to the elements: -0.048 eV per atom
# * mass density: 7.13 g/cm3
# * space group: Cmcm (63)
# * uncorrected energy: -2.134 eV/atom
data_LaZn3CdAg
_space_group_name_H-M_alt 'P 1'
_space_group_IT_number 1
_cell_length_a 6.074
_cell_length_b 6.011
_cell_length_c 7.697
_cell_angle_alpha 112.99
_cell_angle_beta 90.00
_cell_angle_gamma 90.00
loop_
_space_group_symop_operation_xyz
'x,y,z'
loop_
_atom_site_label
_atom_site_type_symbol
_atom_site_fract_x
_atom_site_fract_y
_atom_site_fract_z
La1 La 0.750 0.316 0.632
La2 La 0.250 0.684 0.368
Zn1 Zn 0.250 0.114 0.228
Zn2 Zn 0.000 0.292 0.000
Zn3 Zn 0.500 0.708 0.000
Zn4 Zn 0.500 0.292 0.000
Zn5 Zn 0.000 0.708 0.000
Zn6 Zn 0.750 0.886 0.772
Cd1 Cd 0.250 0.899 0.798
Cd2 Cd 0.750 0.101 0.202
Ag1 Ag 0.250 0.334 0.668
Ag2 Ag 0.750 0.666 0.332

3.
# CaTlBr4 | Alexandria | PBE | optimized geometry
# * Fermi-level density of states: 5.2 states/eV per cell
# * mass density: 4.77 g/cm3
# * space group: F-43m (216)
# * formation energy (no corrections): -368 meV/atom
# * uncorrected energy: -2.211 eV/atom
data_CaTlBr4
_space_group_name_H-M_alt 'P 1'
_space_group_IT_number 1
_cell_length_a 6.524
_cell_length_b 6.524
_cell_length_c 6.524
_cell_angle_alpha 60.00
_cell_angle_beta 60.00
_cell_angle_gamma 60.00
loop_
_space_group_symop_operation_xyz
'x,y,z'
loop_
_atom_site_label
_atom_site_type_symbol
_atom_site_fract_x
_atom_site_fract_y
_atom_site_fract_z
Ca1 Ca 0.750 0.750 0.750
Tl1 Tl 0.000 0.000 0.000
Br1 Br 0.874 0.375 0.375
Br2 Br 0.375 0.375 0.874
Br3 Br 0.375 0.874 0.375
Br4 Br 0.375 0.375 0.375

4.
# Al2CdIn2 | Alexandria | PBE | optimized geometry
# * Fermi-level density of states: 2.3 states/eV per cell
# * energy relative to the elements: 0.217 eV per atom
# * mass density: 5.33 g/cm3
# * space group: I4/mmm (139)
# * uncorrected energy: -2.559 eV/atom
data_Al2CdIn2
_space_group_name_H-M_alt 'P 1'
_space_group_IT_number 1
_cell_length_a 4.507
_cell_length_b 4.507
_cell_length_c 6.862
_cell_angle_alpha 70.83
_cell_angle_beta 70.83
_cell_angle_gamma 90.00
loop_
_space_group_symop_operation_xyz
'x,y,z'
loop_
_atom_site_label
_atom_site_type_symbol
_atom_site_fract_x
_atom_site_fract_y
_atom_site_fract_z
Cd1 Cd 0.000 0.000 0.000
Al1 Al 0.396 0.396 0.208
Al2 Al 0.604 0.604 0.792
In1 In 0.750 0.250 0.500
In2 In 0.250 0.750 0.500

5.
# NaIn4Ru2 | Alexandria | PBE | optimized geometry
# * Fermi-level density of states: 6.0 states/eV per cell
# * energy relative to the elements: 0.753 eV per atom
# * mass density: 6.13 g/cm3
# * space group: I4/mmm (139)
# * uncorrected energy: -3.650 eV/atom
data_NaIn4Ru2
_space_group_name_H-M_alt 'P 1'
_space_group_IT_number 1
_cell_length_a 5.187
_cell_length_b 5.187
_cell_length_c 7.803
_cell_angle_alpha 70.59
_cell_angle_beta 70.59
_cell_angle_gamma 90.00
loop_
_space_group_symop_operation_xyz
'x,y,z'
loop_
_atom_site_label
_atom_site_type_symbol
_atom_site_fract_x
_atom_site_fract_y
_atom_site_fract_z
Ru1 Ru 0.587 0.587 0.826
Ru2 Ru 0.413 0.413 0.174
Na1 Na 0.000 0.000 0.000
In1 In 0.782 0.782 0.436
In2 In 0.218 0.218 0.564
In3 In 0.000 0.500 0.000
In4 In 0.500 0.000 0.000

6.
# GeP2Se6 | Alexandria | PBE | optimized geometry
# * mass density: 4.20 g/cm3
# * space group: C2/c (15)
# * formation energy (no corrections): 5 meV/atom
# * uncorrected energy: -4.033 eV/atom
data_GeP2Se6
_space_group_name_H-M_alt 'P 1'
_space_group_IT_number 1
_cell_length_a 6.398
_cell_length_b 8.834
_cell_length_c 8.834
_cell_angle_alpha 86.45
_cell_angle_beta 78.99
_cell_angle_gamma 78.99
loop_
_space_group_symop_operation_xyz
'x,y,z'
loop_
_atom_site_label
_atom_site_type_symbol
_atom_site_fract_x
_atom_site_fract_y
_atom_site_fract_z
Ge1 Ge 0.250 0.135 0.865
Ge2 Ge 0.750 0.865 0.135
P1 P 0.243 0.623 0.788
P2 P 0.257 0.212 0.377
P3 P 0.757 0.377 0.212
P4 P 0.743 0.788 0.623
Se1 Se 0.450 0.708 0.561
Se2 Se 0.050 0.439 0.292
Se3 Se 0.550 0.292 0.439
Se4 Se 0.950 0.561 0.708
Se5 Se 0.914 0.861 0.398
Se6 Se 0.586 0.602 0.139
Se7 Se 0.086 0.139 0.602
Se8 Se 0.414 0.398 0.861
Se9 Se 0.178 0.802 0.964
Se10 Se 0.322 0.036 0.198
Se11 Se 0.822 0.198 0.036
Se12 Se 0.678 0.964 0.802

7.
# Li2TlNi2 | Alexandria | PBE | optimized geometry
# * Fermi-level density of states: 7.0 states/eV per cell
# * energy relative to the elements: 0.070 eV per atom
# * mass density: 7.25 g/cm3
# * space group: P4/mbm (127)
# * uncorrected energy: -3.481 eV/atom
data_Li2TlNi2
_space_group_name_H-M_alt 'P 1'
_space_group_IT_number 1
_cell_length_a 6.593
_cell_length_b 6.593
_cell_length_c 3.539
_cell_angle_alpha 90.00
_cell_angle_beta 90.00
_cell_angle_gamma 90.00
loop_
_space_group_symop_operation_xyz
'x,y,z'
loop_
_atom_site_label
_atom_site_type_symbol
_atom_site_fract_x
_atom_site_fract_y
_atom_site_fract_z
Ni1 Ni 0.375 0.875 0.000
Ni2 Ni 0.875 0.625 0.000
Ni3 Ni 0.625 0.125 0.000
Ni4 Ni 0.125 0.375 0.000
Tl1 Tl 0.000 0.000 0.000
Tl2 Tl 0.500 0.500 0.000
Li1 Li 0.164 0.664 0.500
Li2 Li 0.664 0.836 0.500
Li3 Li 0.836 0.336 0.500
Li4 Li 0.336 0.164 0.500

8.
# Pm5Cd2In | Alexandria | PBE | optimized geometry
# * Fermi-level density of states: 9.8 states/eV per cell
# * energy relative to the elements: -0.232 eV per atom
# * mass density: 7.54 g/cm3
# * space group: I4mm (107)
# * uncorrected energy: -3.772 eV/atom
data_Pm5Cd2In
_space_group_name_H-M_alt 'P 1'
_space_group_IT_number 1
_cell_length_a 6.735
_cell_length_b 6.735
_cell_length_c 6.735
_cell_angle_alpha 107.93
_cell_angle_beta 107.93
_cell_angle_gamma 112.60
loop_
_space_group_symop_operation_xyz
'x,y,z'
loop_
_atom_site_label
_atom_site_type_symbol
_atom_site_fract_x
_atom_site_fract_y
_atom_site_fract_z
Pm1 Pm 0.278 0.278 0.500
Pm2 Pm 0.278 0.778 0.000
Pm3 Pm 0.778 0.278 0.000
Pm4 Pm 0.778 0.778 0.500
Pm5 Pm 0.278 0.277 0.000
Cd1 Cd 0.278 0.778 0.500
Cd2 Cd 0.778 0.278 0.500
In1 In 0.778 0.778 0.000

What volume values result from the calculations? In sequence: 51, 259, 196, 123, 185, 481, 154, 235 Å³/cell.